Material: Zn2CrBr
Method: DFT, PBE
State: optimized geometry

Lattice parameters (Å, degrees): 3.249 3.249 7.818 90.00 90.00 90.00
Sites, in units of the cell vectors:
Zn1 0.000 0.000 0.000
Zn2 0.500 0.500 0.172
Cr1 0.500 0.500 0.783
Br1 0.000 0.000 0.578

total energy	-3.244	eV/atom
calculated volume	82.5	Å³/cell
E above lowest polymorph	123.9	meV/atom
raw formation energy	0.22	eV per atom